No. 1
26
Lattice="6.227 0.000 0.000 0.000 6.995 0.000 -2.795 0.000 9.923" Properties=species:S:1:pos:R:3 comment="K3SbPCO7, optimized geometry, DFT PBEsol" raw_formation_energy_mev_per_atom=-1797 density_g_cm3=3.027 pbc="T T T"
K 1.130 1.749 0.569
K -0.565 3.593 6.825
K -0.565 6.900 6.825
K 3.997 0.095 3.098
K 3.997 3.403 3.098
K 2.302 5.246 9.354
Sb 0.863 5.246 3.105
Sb 2.569 1.749 6.818
P 0.872 1.749 3.826
P 2.560 5.246 6.097
C 2.219 5.246 0.429
C 1.213 1.749 9.494
O -0.284 1.749 4.827
O 0.974 5.246 0.923
O 0.781 0.502 2.871
O 0.781 2.995 2.871
O -0.437 5.246 9.086
O 0.233 1.749 8.659
O 1.142 5.246 5.449
O 2.290 1.749 4.474
O 3.199 5.246 1.264
O 3.869 1.749 0.838
O 2.650 4.000 7.052
O 2.650 6.493 7.052
O 2.458 1.749 9.000
O 3.715 5.246 5.096

No. 2
24
Lattice="5.651 0.000 0.000 0.000 7.087 0.000 -0.112 0.000 9.954" Properties=species:S:1:pos:R:3 comment="K2TbPCO7, optimized geometry, DFT PBEsol" raw_formation_energy_mev_per_atom=-2396 density_g_cm3=3.267 pbc="T T T"
K 1.344 0.117 2.833
K 1.344 3.426 2.833
K 4.195 3.661 7.122
K 4.195 6.969 7.122
Tb 1.577 1.772 8.755
Tb 3.962 5.315 1.199
P 1.089 5.315 9.290
P 4.450 1.772 0.664
C 1.303 1.772 6.025
C 4.236 5.315 3.930
O 0.359 1.772 0.624
O 0.297 1.772 6.889
O 1.117 1.772 4.784
O 1.592 4.038 8.576
O 1.592 6.591 8.576
O 1.748 5.315 0.798
O 2.485 1.772 6.588
O 3.054 5.315 3.367
O 3.791 1.772 9.156
O 3.947 0.495 1.378
O 3.947 3.048 1.378
O 4.422 5.315 5.170
O 5.241 5.315 3.066
O 5.180 5.315 9.331

No. 3
26
Lattice="5.640 0.000 0.000 0.000 7.298 0.000 -0.217 0.000 10.024" Properties=species:S:1:pos:R:3 comment="K3TlPCO7, optimized geometry, DFT PBEsol" raw_formation_energy_mev_per_atom=-1806 density_g_cm3=3.837 pbc="T T T"
K 1.269 1.825 4.221
K 1.272 0.016 7.563
K 1.272 3.633 7.563
K 4.151 3.665 2.461
K 4.151 7.282 2.461
K 4.154 5.474 5.803
Tl 1.272 5.474 1.235
Tl 4.151 1.825 8.789
P 1.602 1.825 0.911
P 3.821 5.474 9.112
C 1.333 5.474 4.292
C 4.090 1.825 5.732
O 0.198 5.474 3.656
O 0.849 1.825 9.482
O 1.117 0.588 1.736
O 1.117 3.061 1.736
O 1.348 5.474 5.589
O 2.263 5.474 9.154
O 2.456 5.474 3.631
O 2.967 1.825 6.393
O 3.160 1.825 0.869
O 4.075 1.825 4.435
O 4.306 4.237 8.288
O 4.306 6.710 8.288
O 4.574 5.474 0.542
O 5.225 1.825 6.368

No. 4
24
Lattice="5.673 0.000 0.000 0.000 6.987 0.000 -0.006 0.000 9.910" Properties=species:S:1:pos:R:3 comment="K2TmPCO7, optimized geometry, DFT PBEsol" raw_formation_energy_mev_per_atom=-2414 density_g_cm3=3.400 pbc="T T T"
K 1.391 0.118 2.788
K 1.391 3.375 2.788
K 4.276 3.612 7.122
K 4.276 6.869 7.122
Tm 1.655 1.747 8.666
Tm 4.012 5.241 1.243
P 1.215 5.241 9.261
P 4.451 1.747 0.649
C 1.360 1.747 5.996
C 4.307 5.241 3.914
O 0.332 1.747 0.494
O 0.359 1.747 6.865
O 1.173 1.747 4.757
O 1.656 3.963 8.510
O 1.656 6.518 8.510
O 1.879 5.241 0.765
O 2.544 1.747 6.559
O 3.123 5.241 3.351
O 3.788 1.747 9.144
O 4.011 0.470 1.400
O 4.011 3.024 1.400
O 4.494 5.241 5.153
O 5.308 5.241 3.045
O 5.335 5.241 9.415